# PBE-GGA La2TeOs, relaxed
# Crystal system: orthorhombic
# Raw formation energy: -0.60 eV per atom
data_La2TeOs
_chemical_formula_sum 'La4 Te2 Os2'
_cell_length_a 4.6505
_cell_length_b 4.2071
_cell_length_c 11.8632
_cell_angle_alpha 90.00
_cell_angle_beta 90.00
_cell_angle_gamma 90.00
_symmetry_space_group_name_H-M 'A m m 2'
_symmetry_Int_Tables_number 38
_symmetry_space_group_name_Hall 'A 2 -2'
loop_
_atom_site_label
_atom_site_type_symbol
_atom_site_fract_x
_atom_site_fract_y
_atom_site_fract_z
La1 La 0.0000 0.0000 0.0000
La2 La 0.5000 0.0000 0.2908
Te1 Te 0.0000 0.0000 0.7196
Os1 Os 0.5000 0.0000 0.5085

# PBE-GGA LaThTeOs, relaxed
# Crystal system: trigonal
# Raw formation energy: -0.71 eV per atom
data_LaThTeOs
_chemical_formula_sum 'La3 Th3 Te3 Os3'
_cell_length_a 4.2305
_cell_length_b 4.2305
_cell_length_c 23.2384
_cell_angle_alpha 90.00
_cell_angle_beta 90.00
_cell_angle_gamma 120.00
_symmetry_space_group_name_H-M 'R 3 m'
_symmetry_Int_Tables_number 160
_symmetry_space_group_name_Hall 'R 3 -2"'
loop_
_atom_site_label
_atom_site_type_symbol
_atom_site_fract_x
_atom_site_fract_y
_atom_site_fract_z
La1 La 0.0000 0.0000 0.0000
Th1 Th 0.0000 0.0000 0.8010
Te1 Te 0.0000 0.0000 0.5663
Os1 Os 0.0000 0.0000 0.4042

# PBE-GGA LaThOs, relaxed
# Crystal system: cubic
# Offset from the most stable computed form: 119.7 meV per atom
# Calculated formation energy: -0.10 eV/atom
data_LaThOs
_chemical_formula_sum 'La4 Th4 Os4'
_cell_length_a 7.0297
_cell_length_b 7.0297
_cell_length_c 7.0297
_cell_angle_alpha 90.00
_cell_angle_beta 90.00
_cell_angle_gamma 90.00
_symmetry_space_group_name_H-M 'F -4 3 m'
_symmetry_Int_Tables_number 216
_symmetry_space_group_name_Hall 'F -4 2 3'
loop_
_atom_site_label
_atom_site_type_symbol
_atom_site_fract_x
_atom_site_fract_y
_atom_site_fract_z
La1 La 0.0000 0.0000 0.0000
Th1 Th 0.0000 0.0000 0.5000
Os1 Os 0.2500 0.2500 0.7500

# PBE-GGA LaTh2Os, relaxed
# Crystal system: orthorhombic
# Offset from the most stable computed form: 0.0 meV per atom
# Calculated formation energy: -0.21 eV/atom
data_LaTh2Os
_chemical_formula_sum 'La4 Th8 Os4'
_cell_length_a 7.3312
_cell_length_b 9.8331
_cell_length_c 6.5380
_cell_angle_alpha 90.00
_cell_angle_beta 90.00
_cell_angle_gamma 90.00
_symmetry_space_group_name_H-M 'P n m a'
_symmetry_Int_Tables_number 62
_symmetry_space_group_name_Hall '-P 2ac 2n'
loop_
_atom_site_label
_atom_site_type_symbol
_atom_site_fract_x
_atom_site_fract_y
_atom_site_fract_z
La1 La 0.0363 0.2500 0.1390
Th1 Th 0.1700 0.0622 0.6647
Os1 Os 0.1169 0.7500 0.3971

# PBE-GGA LaThOs, relaxed
# Crystal system: monoclinic
# Offset from the most stable computed form: 0.0 meV per atom
# Calculated formation energy: -0.22 eV/atom
data_LaThOs
_chemical_formula_sum 'La2 Th2 Os2'
_cell_length_a 5.4800
_cell_length_b 4.5701
_cell_length_c 7.3857
_cell_angle_alpha 90.00
_cell_angle_beta 105.43
_cell_angle_gamma 90.00
_symmetry_space_group_name_H-M 'P 1 21/m 1'
_symmetry_Int_Tables_number 11
_symmetry_space_group_name_Hall '-P 2yb'
loop_
_atom_site_label
_atom_site_type_symbol
_atom_site_fract_x
_atom_site_fract_y
_atom_site_fract_z
La1 La 0.2362 0.2500 0.4361
Th1 Th 0.2382 0.2500 0.9462
Os1 Os 0.3047 0.7500 0.2017

# PBE-GGA La2ThOs2, relaxed
# Crystal system: orthorhombic
# Calculated formation energy: -0.17 eV/atom
data_La2ThOs2
_chemical_formula_sum 'La4 Th2 Os4'
_cell_length_a 4.3593
_cell_length_b 6.0524
_cell_length_c 9.9082
_cell_angle_alpha 90.00
_cell_angle_beta 90.00
_cell_angle_gamma 90.00
_symmetry_space_group_name_H-M 'I m m m'
_symmetry_Int_Tables_number 71
_symmetry_space_group_name_Hall '-I 2 2'
loop_
_atom_site_label
_atom_site_type_symbol
_atom_site_fract_x
_atom_site_fract_y
_atom_site_fract_z
La1 La 0.0000 0.0000 0.1959
Th1 Th 0.0000 0.5000 0.0000
Os1 Os 0.0000 0.2853 0.5000

# PBE-GGA La7ThOs3, relaxed
# Crystal system: triclinic
# Calculated formation energy: -0.09 eV/atom
data_La7ThOs3
_chemical_formula_sum 'La7 Th1 Os3'
_cell_length_a 7.8048
_cell_length_b 7.8062
_cell_length_c 7.9279
_cell_angle_alpha 60.68
_cell_angle_beta 77.54
_cell_angle_gamma 60.10
_symmetry_space_group_name_H-M 'P 1'
_symmetry_Int_Tables_number 1
_symmetry_space_group_name_Hall 'P 1'
loop_
_atom_site_label
_atom_site_type_symbol
_atom_site_fract_x
_atom_site_fract_y
_atom_site_fract_z
La1 La 0.0000 0.0000 0.0000
La2 La 0.0000 0.4938 0.9990
La3 La 0.3193 0.5834 0.5091
La4 La 0.3206 0.0820 0.5069
La5 La 0.4981 0.5004 0.9965
La6 La 0.4998 0.0301 0.9333
La7 La 0.8267 0.0754 0.5168
Th1 Th 0.8205 0.6238 0.4214
Os1 Os 0.0998 0.3332 0.7244
Os2 Os 0.6890 0.3400 0.7230
Os3 Os 0.6890 0.7422 0.7211

# PBE-GGA La2ThOs, relaxed
# Crystal system: orthorhombic
# Calculated formation energy: -0.19 eV/atom
data_La2ThOs
_chemical_formula_sum 'La8 Th4 Os4'
_cell_length_a 7.3666
_cell_length_b 10.0964
_cell_length_c 6.6169
_cell_angle_alpha 90.00
_cell_angle_beta 90.00
_cell_angle_gamma 90.00
_symmetry_space_group_name_H-M 'P n m a'
_symmetry_Int_Tables_number 62
_symmetry_space_group_name_Hall '-P 2ac 2n'
loop_
_atom_site_label
_atom_site_type_symbol
_atom_site_fract_x
_atom_site_fract_y
_atom_site_fract_z
La1 La 0.1718 0.0675 0.1737
Th1 Th 0.0507 0.2500 0.6689
Os1 Os 0.1293 0.7500 0.9668

One value per record, in order, for volume: 29.01 30.02 28.95 29.46 29.72 26.14 33.17 30.76 Å³/atom.
One value per record, in order, for size of the total moment: 0.00 0.00 0.00 0.00 0.00 0.00 0.00 0.00 μB per cell.